# Tm4GaSe3

An optimized crystal structure of Tm4GaSe3 (GGA-PBE, Alexandria via LeMat-Bulk).

abc: 5.7212 5.7212 5.7212
angles: 90.00 90.00 90.00
Last column: nearest neighbours and their distance in Å.
Space group Pm-3m (No. 221)
Unique sites:
1 Tm 0.0000 0.0000 0.0000 x1  6 Se 2.86
2 Tm 0.0000 0.5000 0.5000 x3  4 Se 2.86, 2 Ga 2.86
3 Ga 0.5000 0.5000 0.5000 x1  6 Tm 2.86
4 Se 0.0000 0.0000 0.5000 x3  6 Tm 2.86

* uncorrected formation energy: -1448.8 meV/atom
* excess energy over the best structure of this formula in the dataset: 0.0 meV/atom
* calculated volume: 23.4 Å³/atom



# Mg2AgOs

An optimized crystal structure of Mg2AgOs (GGA-PBE, Alexandria via LeMat-Bulk).

abc: 3.3627 3.3627 6.0734
angles: 90.00 90.00 90.00
Last column: nearest neighbours and their distance in Å.
Space group P4mm (No. 99)
Unique sites:
1 Mg 0.0000 0.0000 0.0000 x1  4 Ag 2.78, 4 Mg 2.98, 2 Os 3.03-3.04
2 Mg 0.5000 0.5000 0.2950 x1  4 Os 2.69, 1 Ag 2.84, 4 Mg 2.98
3 Ag 0.5000 0.5000 0.7621 x1  5 Mg 2.78-2.84, 4 Os 2.86
4 Os 0.0000 0.0000 0.5004 x1  4 Mg 2.69, 4 Ag 2.86

* calculated volume: 17.2 Å³/atom
* ΔE_f: 1.47 eV/f.u.



# Cd2TeP

An optimized crystal structure of Cd2TeP (GGA-PBE, Alexandria via LeMat-Bulk).

abc: 4.8078 4.8078 8.0413
angles: 90.00 90.00 90.00
Last column: nearest neighbours and their distance in Å.
Space group I4/mmm (No. 139)
Unique sites:
1 Cd 0.0000 0.5000 0.2500 x4  4 Te 3.13, 4 P 3.13, 4 Cd 3.40
2 Te 0.0000 0.0000 0.0000 x2  8 Cd 3.13, 4 P 3.40
3 P 0.0000 0.0000 0.5000 x2  8 Cd 3.13, 4 Te 3.40

* uncorrected formation energy: 351.7 meV/atom
* excess energy over the best structure of this formula in the dataset: 418.0 meV/atom
* calculated volume: 23.2 Å³/atom



# Sr2CrCd

An optimized crystal structure of Sr2CrCd (GGA-PBE, Alexandria via LeMat-Bulk).

abc: 12.6781 4.1067 5.6263
angles: 90.00 115.82 90.00
Last column: nearest neighbours and their distance in Å.
Space group Cm (No. 8)
Unique sites:
1 Sr 0.0000 0.0000 0.0000 x2  4 Cd 3.54-3.55, 4 Sr 3.70-3.89, 4 Cr 3.70-3.89
2 Sr 0.2105 0.0000 0.7067 x2  4 Cr 3.55, 4 Cd 3.68-3.90, 4 Sr 3.70-3.89
3 Cr 0.2696 0.5000 0.2652 x2  2 Cd 2.85
4 Cd 0.4425 0.0000 0.4432 x2  2 Cr 2.85

* calculated volume: 33.0 Å³/atom
* ΔE_f: 1.01 eV/f.u.



# Ni3HgC

An optimized crystal structure of Ni3HgC (GGA-PBE, Alexandria via LeMat-Bulk).

abc: 3.8786 3.8786 3.8786
angles: 90.00 90.00 90.00
Last column: nearest neighbours and their distance in Å.
Space group Pm-3m (No. 221)
Unique sites:
1 Ni 0.0000 0.0000 0.5000 x3  2 C 1.94
2 Hg 0.5000 0.5000 0.5000 x1  12 Ni 2.74
3 C 0.0000 0.0000 0.0000 x1  6 Ni 1.94

* excess energy over the best structure of this formula in the dataset: 0.0 meV/atom
* calculated volume: 11.7 Å³/atom
* ΔE_f: 0.61 eV/f.u.



# K3Pm2CrSe6

An optimized crystal structure of K3Pm2CrSe6 (GGA-PBE, Alexandria via LeMat-Bulk).

abc: 7.2128 12.5065 8.0527
angles: 90.00 107.59 90.00
Last column: nearest neighbours and their distance in Å.
Space group C2/m (No. 12)
Unique sites:
1 K 0.0000 0.0000 0.0000 x2  6 Se 3.26-3.50
2 K 0.0000 0.3285 0.0000 x4  6 Se 3.27-3.45
3 Pm 0.0000 0.1660 0.5000 x4  6 Se 2.95
4 Cr 0.0000 0.5000 0.5000 x2  6 Se 2.67
5 Se 0.2182 0.3482 0.6992 x8  1 Cr 2.67, 2 Pm 2.95
6 Se 0.2353 0.5000 0.2999 x4  1 Cr 2.67, 2 Pm 2.95

* uncorrected formation energy: -1392.9 meV/atom
* calculated volume: 28.9 Å³/atom



# Tl3InTe2O8

An optimized crystal structure of Tl3InTe2O8 (GGA-PBE, Alexandria via LeMat-Bulk).

abc: 6.3194 6.3194 7.8001
angles: 90.00 90.00 120.00
Last column: nearest neighbours and their distance in Å.
Space group P-3m1 (No. 164)
Unique sites:
1 Tl 0.0000 0.0000 0.0000 x1  6 O 3.02
2 Tl 0.3333 0.6667 0.7516 x2  1 O 2.37
3 In 0.0000 0.0000 0.5000 x1  6 O 2.20
4 Te 0.3333 0.6667 0.2931 x2  4 O 1.86-1.96
5 O 0.1554 0.3107 0.3204 x6  1 Te 1.96
6 O 0.3333 0.6667 0.0552 x2  1 Te 1.86

* uncorrected formation energy: -860.8 meV/atom
* calculated volume: 19.3 Å³/atom



# Te3PN

An optimized crystal structure of Te3PN (GGA-PBE, Alexandria via LeMat-Bulk).

abc: 4.7445 4.7445 4.7445
angles: 90.00 90.00 90.00
Last column: nearest neighbours and their distance in Å.
Space group Pm-3m (No. 221)
Unique sites:
1 Te 0.0000 0.0000 0.5000 x3  2 N 2.37
2 P 0.5000 0.5000 0.5000 x1  12 Te 3.35
3 N 0.0000 0.0000 0.0000 x1  6 Te 2.37

* uncorrected formation energy: 1013.4 meV/atom
* excess energy over the best structure of this formula in the dataset: 0.0 meV/atom
* calculated volume: 21.4 Å³/atom



# Nb2Cu2N

An optimized crystal structure of Nb2Cu2N (GGA-PBE, Alexandria via LeMat-Bulk).

abc: 5.6719 5.6719 4.5675
angles: 90.00 90.00 90.00
Last column: nearest neighbours and their distance in Å.
Space group P4/mbm (No. 127)
Unique sites:
1 Nb 0.1713 0.3287 0.0000 x4  2 N 2.10
2 Cu 0.1477 0.6477 0.5000 x4  1 Cu 2.37
3 N 0.0000 0.0000 0.0000 x2  4 Nb 2.10

* uncorrected formation energy: -128.3 meV/atom
* excess energy over the best structure of this formula in the dataset: 0.0 meV/atom
* calculated volume: 14.7 Å³/atom



# ReSnPO2

An optimized crystal structure of ReSnPO2 (GGA-PBE, Alexandria via LeMat-Bulk).

abc: 3.8486 3.8486 5.8118
angles: 90.00 90.00 90.00
Last column: nearest neighbours and their distance in Å.
Space group P4/mmm (No. 123)
Unique sites:
1 Re 0.0000 0.0000 0.0000 x1  4 P 2.72
2 Sn 0.5000 0.5000 0.5000 x1  4 O 1.92
3 P 0.5000 0.5000 0.0000 x1  4 Re 2.72, 2 Sn 2.91
4 O 0.0000 0.5000 0.5000 x2  2 Sn 1.92

* uncorrected formation energy: 352.9 meV/atom
* excess energy over the best structure of this formula in the dataset: 1013.8 meV/atom
* calculated volume: 17.2 Å³/atom



# Cs2HfSnS5

An optimized crystal structure of Cs2HfSnS5 (GGA-PBE, Alexandria via LeMat-Bulk).

abc: 3.8996 20.3811 14.9711
angles: 90.00 90.00 90.00
Last column: nearest neighbours and their distance in Å.
Space group Cmc2_1 (No. 36)
Unique sites:
1 Cs 0.0000 0.1254 0.0000 x4  5 S 3.45-3.59
2 Cs 0.0000 0.1361 0.6384 x4  7 S 3.47-3.83
3 Hf 0.0000 0.2132 0.3508 x4  3 S 2.31-2.52
4 Sn 0.0000 0.4314 0.7517 x4  4 S 2.31-2.50
5 S 0.0000 0.0637 0.3562 x4  2 Sn 2.50
6 S 0.0000 0.2985 0.9567 x4  2 Hf 2.52
7 S 0.0000 0.3124 0.7272 x4  1 Sn 2.45, 2 Hf 2.74
8 S 0.0000 0.3244 0.3228 x4  1 Hf 2.31
9 S 0.0000 0.4925 0.6217 x4  1 Sn 2.31

* uncorrected formation energy: -1106.7 meV/atom
* calculated volume: 33.1 Å³/atom



# Pm2ScBi2

An optimized crystal structure of Pm2ScBi2 (GGA-PBE, Alexandria via LeMat-Bulk).

abc: 8.2892 12.3485 6.3826
angles: 90.00 90.00 90.00
Last column: nearest neighbours and their distance in Å.
Space group Ibam (No. 72)
Unique sites:
1 Pm 0.1509 0.1424 0.0000 x8  5 Bi 3.17-3.29
2 Sc 0.0000 0.5000 0.2500 x4  4 Bi 3.04, 2 Sc 3.19
3 Bi 0.2364 0.1121 0.5000 x8  2 Sc 3.04, 5 Pm 3.17-3.29

* calculated volume: 32.7 Å³/atom
* ΔE_f: -3.02 eV/f.u.



# Nd5Tl2Pt

An optimized crystal structure of Nd5Tl2Pt (GGA-PBE, Alexandria via LeMat-Bulk).

abc: 7.8505 12.7889 4.8854
angles: 90.00 90.00 90.00
Last column: nearest neighbours and their distance in Å.
Space group Pbam (No. 55)
Unique sites:
1 Nd 0.0000 0.0000 0.0000 x2  4 Tl 3.31, 4 Nd 3.62
2 Nd 0.1369 0.2907 0.0000 x4  1 Pt 2.88
3 Nd 0.1816 0.5741 0.5000 x4  2 Pt 2.98
4 Tl 0.0823 0.8334 0.5000 x4  9 Nd 3.31-3.59
5 Pt 0.0000 0.5000 0.0000 x2  6 Nd 2.88-2.98

* excess energy over the best structure of this formula in the dataset: 0.0 meV/atom
* calculated volume: 30.7 Å³/atom
* ΔE_f: -4.02 eV/f.u.



# Ni2AsPt

An optimized crystal structure of Ni2AsPt (GGA-PBE, Alexandria via LeMat-Bulk).

abc: 3.2408 4.2142 7.8534
angles: 90.00 90.00 90.00
Last column: nearest neighbours and their distance in Å.
Space group Immm (No. 71)
Unique sites:
1 Ni 0.0000 0.0000 0.2210 x4  2 As 2.37
2 As 0.0000 0.5000 0.5000 x2  4 Ni 2.37, 4 Pt 2.66
3 Pt 0.0000 0.5000 0.0000 x2  4 As 2.66, 8 Ni 2.73

* calculated volume: 13.4 Å³/atom
* ΔE_f: -0.38 eV/f.u.



# Tb3PmTm12

An optimized crystal structure of Tb3PmTm12 (GGA-PBE, Alexandria via LeMat-Bulk).

abc: 4.9631 4.9631 19.8660
angles: 90.00 90.00 90.00
Last column: nearest neighbours and their distance in Å.
Space group P4/mmm (No. 123)
Unique sites:
1 Tb 0.0000 0.0000 0.0000 x1  12 Tm 3.51
2 Tb 0.0000 0.0000 0.2494 x2  12 Tm 3.50-3.51
3 Pm 0.0000 0.0000 0.5000 x1  12 Tm 3.51-3.53
4 Tm 0.0000 0.5000 0.1246 x4  8 Tm 3.50-3.51, 4 Tb 3.51
5 Tm 0.0000 0.5000 0.3739 x4  2 Tb 3.50, 8 Tm 3.51-3.53, 2 Pm 3.53
6 Tm 0.5000 0.5000 0.0000 x1  8 Tm 3.51, 4 Tb 3.51
7 Tm 0.5000 0.5000 0.2491 x2  8 Tm 3.50-3.51, 4 Tb 3.51
8 Tm 0.5000 0.5000 0.5000 x1  4 Pm 3.51, 8 Tm 3.53

* calculated volume: 30.6 Å³/atom
* ΔE_f: 0.39 eV/f.u.



# TlSbIrO6

An optimized crystal structure of TlSbIrO6 (GGA-PBE, Alexandria via LeMat-Bulk).

abc: 7.2499 7.2862 10.3524
angles: 90.00 90.00 90.00
Last column: nearest neighbours and their distance in Å.
Space group Imma (No. 74)
Unique sites:
1 Tl 0.0000 0.2500 0.1289 x4  6 O 3.04-3.29
2 Sb 0.0000 0.0000 0.5000 x4  6 O 1.99-2.01
3 Ir 0.2500 0.2500 0.7500 x4  6 O 1.92-1.94
4 O 0.0000 0.2500 0.4225 x4  2 Sb 1.99
5 O 0.0000 0.2500 0.8110 x4  2 Ir 1.92
6 O 0.2047 0.0562 0.6249 x16  1 Ir 1.94, 1 Sb 2.01

* uncorrected formation energy: -899.2 meV/atom
* calculated volume: 15.2 Å³/atom



# Ce2MnBe3Ge4

An optimized crystal structure of Ce2MnBe3Ge4 (GGA-PBE, Alexandria via LeMat-Bulk).

abc: 4.0876 4.0876 9.8707
angles: 90.00 90.00 90.00
Last column: nearest neighbours and their distance in Å.
Space group P-4m2 (No. 115)
Unique sites:
1 Ce 0.0000 0.5000 0.2427 x2  8 Ge 3.11-3.15, 6 Be 3.12-3.26, 2 Mn 3.26
2 Mn 0.0000 0.0000 0.5000 x1  4 Ge 2.47
3 Be 0.0000 0.5000 0.8753 x2  5 Ge 2.32-2.39
4 Be 0.5000 0.5000 0.5000 x1  4 Ge 2.47
5 Ge 0.0000 0.0000 0.0000 x1  4 Be 2.39
6 Ge 0.0000 0.5000 0.6408 x2  3 Be 2.32-2.47, 2 Mn 2.47
7 Ge 0.5000 0.5000 0.0000 x1  4 Be 2.39

* calculated volume: 16.5 Å³/atom
* ΔE_f: -3.67 eV/f.u.



# Sr2UCuTe5

An optimized crystal structure of Sr2UCuTe5 (GGA-PBE, Alexandria via LeMat-Bulk).

abc: 4.4195 19.6093 13.5532
angles: 90.00 90.00 90.00
Last column: nearest neighbours and their distance in Å.
Space group Cmc2_1 (No. 36)
Unique sites:
1 Sr 0.0000 0.1129 0.0000 x4  6 Te 3.27-3.52
2 Sr 0.0000 0.1153 0.3631 x4  7 Te 3.29-3.64
3 U 0.0000 0.1964 0.6874 x4  6 Te 2.94-3.05
4 Cu 0.0000 0.4260 0.1006 x4  4 Te 2.62-2.63
5 Te 0.0000 0.0464 0.6980 x4  2 Cu 2.63, 1 U 2.94
6 Te 0.0000 0.3005 0.3411 x4  2 U 3.04
7 Te 0.0000 0.3005 0.0318 x4  1 Cu 2.63
8 Te 0.0000 0.3505 0.6819 x4  1 U 3.02, 2 Sr 3.37
9 Te 0.0000 0.4978 0.9378 x4  1 Cu 2.62

* uncorrected formation energy: -979.7 meV/atom
* calculated volume: 32.6 Å³/atom



# TmZn2Sn

An optimized crystal structure of TmZn2Sn (GGA-PBE, Alexandria via LeMat-Bulk).

abc: 4.3115 4.3115 4.3616
angles: 90.00 90.00 90.00
Last column: nearest neighbours and their distance in Å.
Space group P4/mmm (No. 123)
Unique sites:
1 Tm 0.0000 0.0000 0.0000 x1  4 Sn 3.05, 8 Zn 3.07
2 Zn 0.0000 0.5000 0.5000 x2  4 Zn 3.05, 4 Sn 3.07, 4 Tm 3.07
3 Sn 0.5000 0.5000 0.0000 x1  4 Tm 3.05, 8 Zn 3.07

* calculated volume: 20.3 Å³/atom
* ΔE_f: -1.47 eV/f.u.



# Tb2LuAl

An optimized crystal structure of Tb2LuAl (GGA-PBE, Alexandria via LeMat-Bulk).

abc: 3.4465 3.4465 34.2573
angles: 90.00 90.00 120.00
Last column: nearest neighbours and their distance in Å.
Space group R-3m (No. 166, hexagonal axes)
Unique sites:
1 Tb 0.0000 0.0000 0.0992 x6  3 Al 3.05, 1 Lu 3.40
2 Lu 0.0000 0.0000 0.0000 x3  2 Tb 3.40, 6 Lu 3.45
3 Al 0.0000 0.0000 0.5000 x3  6 Tb 3.05

* excess energy over the best structure of this formula in the dataset: 317.0 meV/atom
* calculated volume: 29.4 Å³/atom
* ΔE_f: 0.51 eV/f.u.